Entry from Alexandria via LeMat-Bulk: a relaxed structure of HfMnNbI2 (GGA-PBEsol).

Calculated values
- final energy (eV per atom) = -5.749
- ΔE_f (raw) (kJ per mole of atoms) = 113.4
- size of the total moment (μB per atom) = 0.909
- space group = No. 123
- Fermi-level density of states (states/eV/cell) = 4.78

abc: 5.1017 5.4087 5.4087
angles: 90.00 90.00 90.00
Last column: magnetic moment on the atom in μB.
Sites, in units of the cell vectors:
1 I 0.0000 0.0000 0.5000  0.03
2 I 0.0000 0.5000 0.0000  0.03
3 Nb 0.0000 0.0000 0.0000  0.07
4 Mn 0.5000 0.5000 0.5000  4.43
5 Hf 0.5000 0.0000 0.0000  -0.29